Here is a geometry-optimized SbRh2Au structure from Alexandria. Energies are from PBE.

```
SbRh2Au
1.0
3.549 -4.250 -0.406
4.537 -0.228 3.192
-5.541 0.288 -0.180
Au Rh Sb
1 2 1
Direct
0.737 0.237 0.500
0.272 0.772 0.500
0.002 0.002 0.000
0.488 0.488 0.000
```

Results
The calculation puts the total magnetization at 0.0 Bohr magnetons per cell. Its symmetry is Imm2. The calculation puts the energy relative to the elements, uncorrected at 0.0 eV/f.u. The value obtained for the density of states at the Fermi level is 4.262 states/eV/f.u.

***

Here is a geometry-optimized SbRh2Au2 structure from Alexandria. Energies are from PBE.

```
SbRh2Au2
1.0
3.730 0.000 0.000
0.000 3.730 0.000
1.865 1.865 6.850
Au Rh Sb
2 2 1
Direct
0.750 0.250 0.500
0.250 0.750 0.500
0.405 0.405 0.191
0.595 0.595 0.809
0.000 0.000 0.000
```

Results
The calculation puts the total magnetization at 0.2 Bohr magnetons per cell. Its symmetry is I4/mmm. As for the energy above the most stable polymorph in this dataset: 5.64 kcal/mol of atoms. The calculation puts the energy relative to the elements, uncorrected at 1.2 eV/f.u. The value obtained for the density of states at the Fermi level is 8.506 states/eV/f.u.

***

Here is a geometry-optimized SbRhAu structure from Alexandria. Energies are from PBE.

```
SbRhAu
1.0
4.000 -3.000 -1.713
3.340 -2.674 3.103
-5.151 0.904 -0.767
Au Sb Rh
1 1 1
Direct
0.004 0.004 0.000
0.312 0.312 0.000
0.684 0.684 0.000
```

Results
The calculation puts the total magnetization at 0.0 Bohr magnetons per cell. Its symmetry is I4mm. The calculation puts the energy relative to the elements, uncorrected at -0.3 eV/f.u. The value obtained for the density of states at the Fermi level is 1.409 states/eV/f.u.

***

Here is a geometry-optimized SbRh2Au structure from Alexandria. Energies are from PBE.

```
SbRh2Au
1.0
-0.088 -2.082 -4.836
2.898 -1.776 -4.022
-0.061 -4.075 1.758
Rh Au Sb
2 1 1
Direct
0.030 0.030 0.875
0.220 0.220 0.375
0.763 0.763 0.875
0.487 0.487 0.375
```

Results
The calculation puts the total magnetization at 0.0 Bohr magnetons per cell. Its symmetry is Amm2. The calculation puts the energy relative to the elements, uncorrected at -0.3 eV/f.u. The value obtained for the density of states at the Fermi level is 2.944 states/eV/f.u.

***

Here is a geometry-optimized SbRh2Au structure from Alexandria. Energies are from PBE.

```
SbRh2Au
1.0
-4.132 8.183 1.522
-6.048 7.037 -0.504
-6.347 6.343 2.415
Rh Sb Au
2 1 1
Direct
0.748 0.748 0.748
0.005 0.005 0.005
0.491 0.491 0.491
0.256 0.256 0.256
```

Results
The calculation puts the total magnetization at 1.5 Bohr magnetons per cell. Its symmetry is R3m. The calculation puts the energy relative to the elements, uncorrected at 1.0 eV/f.u. The value obtained for the density of states at the Fermi level is 2.977 states/eV/f.u.

***

Here is a geometry-optimized SbRh2Au2 structure from Alexandria. Energies are from PBE.

```
SbRh2Au2
1.0
-3.977 -2.771 4.487
3.566 -5.554 -0.268
2.478 1.442 3.087
Au Rh Sb
4 4 2
Direct
0.343 0.157 0.500
0.843 0.343 0.500
0.157 0.657 0.500
0.657 0.843 0.500
0.642 0.142 0.000
0.142 0.358 0.000
0.358 0.858 0.000
0.858 0.642 0.000
0.000 0.000 0.000
0.500 0.500 0.000
```

Results
The calculation puts the total magnetization at 0.0 Bohr magnetons per cell. Its symmetry is P4/mbm. As for the energy above the most stable polymorph in this dataset: 0.00 kcal/mol of atoms. The calculation puts the energy relative to the elements, uncorrected at 0.0 eV/f.u. The value obtained for the density of states at the Fermi level is 3.483 states/eV/f.u.